Entry 1:
## CeAsO4 (GGA-PBEsol)

Data for a relaxed structure of CeAsO4.

Cell lengths 6.7140, 6.9533, 7.1288 Å; angles 90.00, 90.00, 105.25 degrees
Closest atoms and distances in Å follow each position.
Fractional coordinates of all 24 atoms:
As1 0.1134 0.8037 0.1635  4 O 1.71-1.72
As2 0.3866 0.6963 0.6635  4 O 1.71-1.72
As3 0.6134 0.3037 0.3365  4 O 1.71-1.72
As4 0.8866 0.1963 0.8365  4 O 1.71-1.72
Ce1 0.4001 0.2169 0.8471  8 O 2.43-2.61
Ce2 0.9001 0.7169 0.6529  8 O 2.43-2.61
Ce3 0.5999 0.7831 0.1529  8 O 2.43-2.61
Ce4 0.0999 0.2831 0.3471  8 O 2.43-2.61
O1 0.9256 0.7545 0.9938  1 As 1.72
O2 0.8337 0.4857 0.3901  1 As 1.72
O3 0.9943 0.8933 0.3443  1 As 1.72
O4 0.0057 0.1067 0.6557  1 As 1.72
O5 0.6663 0.0143 0.8901  1 As 1.72
O6 0.2743 0.8839 0.7143  1 As 1.71
O7 0.7743 0.3839 0.7857  1 As 1.71
O8 0.4943 0.3933 0.1557  1 As 1.72
O9 0.3337 0.9857 0.1099  1 As 1.72
O10 0.4256 0.2545 0.5062  1 As 1.72
O11 0.7257 0.1161 0.2857  1 As 1.71
O12 0.0744 0.2455 0.0062  1 As 1.72
O13 0.5744 0.7455 0.4938  1 As 1.72
O14 0.2257 0.6161 0.2143  1 As 1.71
O15 0.5057 0.6067 0.8443  1 As 1.72
O16 0.1663 0.5143 0.6099  1 As 1.72

Calculated values
Uncorrected formation energy: -2.233 eV/atom
Electronic total energy: -7.68 eV per atom



Entry 2:
## CeAsRuO (GGA-PBEsol)

Data for a relaxed structure of CeAsRuO.

Cell lengths 4.0577, 4.0577, 7.8933 Å; angles 90.00, 90.00, 90.00 degrees
Closest atoms and distances in Å follow each position.
Fractional coordinates of all 8 atoms:
Ce1 0.5000 0.0000 0.1469  4 O 2.34
Ce2 0.0000 0.5000 0.8531  4 O 2.34
O1 0.5000 0.5000 0.0000  4 Ce 2.34
O2 0.0000 0.0000 0.0000  4 Ce 2.34
Ru1 0.0000 0.0000 0.5000  4 As 2.41
Ru2 0.5000 0.5000 0.5000  4 As 2.41
As1 0.0000 0.5000 0.3363  4 Ru 2.41
As2 0.5000 0.0000 0.6637  4 Ru 2.41

Calculated values
Uncorrected formation energy: -1.858 eV/atom
Electronic total energy: -8.64 eV per atom



Entry 3:
## CeAs12Os4 (GGA-PBEsol)

Data for a relaxed structure of CeAs12Os4.

Cell lengths 7.3790, 7.3790, 7.3790 Å; angles 109.47, 109.47, 109.47 degrees
Closest atoms and distances in Å follow each position.
Fractional coordinates of all 17 atoms:
As1 0.1492 0.3467 0.4959  2 Os 2.44, 2 As 2.54-2.61
As2 0.8508 0.6533 0.5041  2 Os 2.44, 2 As 2.54-2.61
As3 0.6533 0.8025 0.1492  2 Os 2.44, 2 As 2.54-2.61
As4 0.8025 0.1492 0.6533  2 Os 2.44, 2 As 2.54-2.61
As5 0.1975 0.8508 0.3467  2 Os 2.44, 2 As 2.54-2.61
As6 0.6533 0.5041 0.8508  2 Os 2.44, 2 As 2.54-2.61
As7 0.5041 0.8508 0.6533  2 Os 2.44, 2 As 2.54-2.61
As8 0.4959 0.1492 0.3467  2 Os 2.44, 2 As 2.54-2.61
As9 0.3467 0.1975 0.8508  2 Os 2.44, 2 As 2.54-2.61
As10 0.3467 0.4959 0.1492  2 Os 2.44, 2 As 2.54-2.61
As11 0.8508 0.3467 0.1975  2 Os 2.44, 2 As 2.54-2.61
As12 0.1492 0.6533 0.8025  2 Os 2.44, 2 As 2.54-2.61
Ce1 0.0000 0.0000 0.0000  12 As 3.22
Os1 0.5000 0.0000 0.0000  6 As 2.44
Os2 0.0000 0.5000 0.0000  6 As 2.44
Os3 0.0000 0.0000 0.5000  6 As 2.44
Os4 0.5000 0.5000 0.5000  6 As 2.44

Calculated values
ΔE_f: -37.2 kJ per mole of atoms
Electronic total energy: -7.25 eV per atom



Entry 4:
## CeAsPd (GGA-PBEsol)

Data for a relaxed structure of CeAsPd.

Cell lengths 4.2991, 4.2991, 7.6621 Å; angles 90.00, 90.00, 120.00 degrees
Closest atoms and distances in Å follow each position.
Fractional coordinates of all 6 atoms:
As1 0.6667 0.3333 0.7500  3 Pd 2.48
As2 0.3333 0.6667 0.2500  3 Pd 2.48
Pd1 0.6667 0.3333 0.2500  3 As 2.48
Pd2 0.3333 0.6667 0.7500  3 As 2.48
Ce1 0.0000 0.0000 0.0000  6 As 3.14, 6 Pd 3.14
Ce2 0.0000 0.0000 0.5000  6 As 3.14, 6 Pd 3.14

Calculated values
ΔE_f: -105.5 kJ per mole of atoms
Electronic total energy: -6.98 eV per atom



Entry 5:
## CeAs2Pd3 (GGA-PBEsol)

Data for a relaxed structure of CeAs2Pd3.

Cell lengths 4.0664, 8.4956, 9.8973 Å; angles 107.24, 90.00, 103.85 degrees
Closest atoms and distances in Å follow each position.
Fractional coordinates of all 18 atoms:
Pd1 0.7827 0.5654 0.6051  4 As 2.40-2.62
Pd2 0.2173 0.4346 0.3949  4 As 2.40-2.62
Pd3 0.5000 0.0000 0.5000  2 As 2.41
Pd4 0.9600 0.9199 0.6652  4 As 2.53-2.65, 3 Pd 2.80-2.81
Pd5 0.3203 0.6406 0.0304  4 As 2.46-2.54, 1 Pd 2.75
Pd6 0.0400 0.0801 0.3348  4 As 2.53-2.65, 3 Pd 2.80-2.81
Pd7 0.3733 0.7467 0.7925  4 As 2.45-2.71
Pd8 0.6267 0.2533 0.2075  4 As 2.45-2.71
Pd9 0.6797 0.3594 0.9696  4 As 2.46-2.54, 1 Pd 2.75
Ce1 0.0000 0.0000 0.0000  6 As 3.09-3.13, 6 Pd 3.17-3.18
Ce2 0.8436 0.6871 0.2962  6 As 3.10-3.19, 8 Pd 3.15-3.42
Ce3 0.1564 0.3129 0.7038  6 As 3.10-3.19, 8 Pd 3.15-3.42
As1 0.8019 0.6039 0.8694  6 Pd 2.50-2.58
As2 0.6367 0.2734 0.4599  7 Pd 2.40-2.65
As3 0.3633 0.7266 0.5401  7 Pd 2.40-2.65
As4 0.1981 0.3961 0.1306  6 Pd 2.50-2.58
As5 0.4623 0.9245 0.2076  4 Pd 2.46-2.71
As6 0.5377 0.0755 0.7924  4 Pd 2.46-2.71

Calculated values
ΔE_f: -78.4 kJ per mole of atoms
Electronic total energy: -6.59 eV per atom



Entry 6:
## CeAs2Pd2 (GGA-PBEsol)

Data for a relaxed structure of CeAs2Pd2.

Cell lengths 4.1384, 4.1384, 6.0966 Å; angles 109.84, 109.84, 90.00 degrees
Closest atoms and distances in Å follow each position.
Fractional coordinates of all 5 atoms:
Pd1 0.2500 0.7500 0.5000  4 As 2.51
Pd2 0.7500 0.2500 0.5000  4 As 2.51
As1 0.6167 0.6167 0.2334  1 As 2.50, 4 Pd 2.51
As2 0.3833 0.3833 0.7666  1 As 2.50, 4 Pd 2.51
Ce1 0.0000 0.0000 0.0000  8 As 3.18, 8 Pd 3.38

Calculated values
ΔE_f: -80.8 kJ per mole of atoms
Electronic total energy: -6.58 eV per atom



Entry 7:
## Ce3AsS3 (GGA-PBEsol)

Data for a relaxed structure of Ce3AsS3.

Cell lengths 8.4518, 8.4518, 8.4518 Å; angles 90.00, 90.00, 90.00 degrees
Closest atoms and distances in Å follow each position.
Fractional coordinates of all 28 atoms:
Ce1 0.7517 0.8734 0.5027  6 S 2.86-2.99, 2 As 2.90-2.98
Ce2 0.0027 0.7483 0.1266  6 S 2.86-2.99, 2 As 2.90-2.98
Ce3 0.3734 0.9973 0.2483  6 S 2.86-2.99, 2 As 2.90-2.98
Ce4 0.2517 0.6266 0.4973  6 S 2.86-2.99, 2 As 2.90-2.98
Ce5 0.1266 0.0027 0.7483  6 S 2.86-2.99, 2 As 2.90-2.98
Ce6 0.8734 0.5027 0.7517  6 S 2.86-2.99, 2 As 2.90-2.98
Ce7 0.2483 0.3734 0.9973  6 S 2.86-2.99, 2 As 2.90-2.98
Ce8 0.5027 0.7517 0.8734  6 S 2.86-2.99, 2 As 2.90-2.98
Ce9 0.7483 0.1266 0.0027  6 S 2.86-2.99, 2 As 2.90-2.98
Ce10 0.9973 0.2483 0.3734  6 S 2.86-2.99, 2 As 2.90-2.98
Ce11 0.4973 0.2517 0.6266  6 S 2.86-2.99, 2 As 2.90-2.98
Ce12 0.6266 0.4973 0.2517  6 S 2.86-2.99, 2 As 2.90-2.98
S1 0.9223 0.4223 0.0777  6 Ce 2.87-2.97, 3 S 3.21
S2 0.5748 0.4252 0.9252  6 Ce 2.86-2.99
S3 0.8293 0.8293 0.8293  6 Ce 2.86-2.99, 3 As 3.19
S4 0.4252 0.9252 0.5748  6 Ce 2.86-2.99
S5 0.1707 0.3293 0.6707  6 Ce 2.86-2.99, 3 As 3.19
S6 0.5777 0.5777 0.5777  6 Ce 2.87-2.97, 3 S 3.21
S7 0.6707 0.1707 0.3293  6 Ce 2.86-2.99, 3 As 3.19
S8 0.4223 0.0777 0.9223  6 Ce 2.87-2.97, 3 S 3.21
S9 0.0748 0.0748 0.0748  6 Ce 2.86-2.99
S10 0.9252 0.5748 0.4252  6 Ce 2.86-2.99
S11 0.3293 0.6707 0.1707  6 Ce 2.86-2.99, 3 As 3.19
S12 0.0777 0.9223 0.4223  6 Ce 2.87-2.97, 3 S 3.21
As1 0.3276 0.3276 0.3276  6 Ce 2.90-2.98, 3 S 3.19
As2 0.1724 0.6724 0.8276  6 Ce 2.90-2.98, 3 S 3.19
As3 0.8276 0.1724 0.6724  6 Ce 2.90-2.98, 3 S 3.19
As4 0.6724 0.8276 0.1724  6 Ce 2.90-2.98, 3 S 3.19

Calculated values
Uncorrected formation energy: -1.846 eV/atom
Electronic total energy: -7.28 eV per atom



Entry 8:
## Ce3AsS3 (GGA-PBEsol)

Data for a relaxed structure of Ce3AsS3.

Cell lengths 7.2914, 7.2939, 7.3375 Å; angles 109.49, 109.47, 109.20 degrees
Closest atoms and distances in Å follow each position.
Fractional coordinates of all 14 atoms:
Ce1 0.8803 0.7573 0.6273  6 S 2.84-3.00, 2 As 2.90-2.91
Ce2 0.1251 0.3757 0.7562  6 S 2.83-2.99, 2 As 2.91-3.00
Ce3 0.6232 0.2454 0.8730  6 S 2.85-2.98, 2 As 2.99
Ce4 0.7502 0.8724 0.1270  6 S 2.85-2.98, 2 As 2.99
Ce5 0.3689 0.1194 0.2438  6 S 2.83-2.99, 2 As 2.91-3.00
Ce6 0.2530 0.6300 0.3727  6 S 2.84-3.00, 2 As 2.90-2.91
S1 0.5012 0.5003 0.1554  6 Ce 2.85-3.00, 1 As 3.18
S2 0.9979 0.6531 0.9978  6 Ce 2.83-2.99
S3 0.0002 0.1553 0.0022  6 Ce 2.83-2.99
S4 0.1544 0.0007 0.4988  6 Ce 2.84-2.98
S5 0.3458 0.8449 0.8446  6 Ce 2.85-3.00, 1 As 3.18
S6 0.6556 0.0019 0.5012  6 Ce 2.84-2.98
As1 0.4995 0.4993 0.6549  6 Ce 2.90-3.00, 3 S 3.18-3.19
As2 0.8446 0.3444 0.3451  6 Ce 2.90-3.00, 3 S 3.18-3.19

Calculated values
Uncorrected formation energy: -1.847 eV/atom
Electronic total energy: -7.28 eV per atom



Entry 9:
## Ce3SbAs2 (GGA-PBEsol)

Data for a relaxed structure of Ce3SbAs2.

Cell lengths 4.2245, 6.0169, 7.3596 Å; angles 114.13, 106.68, 90.00 degrees
Closest atoms and distances in Å follow each position.
Fractional coordinates of all 6 atoms:
Ce1 0.3227 0.3227 0.6455  4 As 2.93-3.01, 2 Sb 3.09
Ce2 0.0000 0.0000 0.0000  4 As 2.97, 2 Sb 3.01
Ce3 0.6773 0.6773 0.3545  4 As 2.93-3.01, 2 Sb 3.09
As1 0.6632 0.1632 0.3264  6 Ce 2.93-3.01
As2 0.3368 0.8368 0.6736  6 Ce 2.93-3.01
Sb1 0.0000 0.5000 0.0000  6 Ce 3.01-3.09

Calculated values
Uncorrected formation energy: -1.208 eV/atom
Electronic total energy: -6.97 eV per atom



Entry 10:
## CeAsSe (GGA-PBEsol)

Data for a relaxed structure of CeAsSe.

Cell lengths 3.9561, 7.3374, 9.5195 Å; angles 90.00, 90.00, 90.00 degrees
Closest atoms and distances in Å follow each position.
Fractional coordinates of all 12 atoms:
Se1 0.2500 0.5893 0.1612  5 Ce 2.95-3.11, 2 As 3.27
Se2 0.7500 0.9107 0.6612  5 Ce 2.95-3.11, 2 As 3.27
Se3 0.7500 0.4107 0.8388  5 Ce 2.95-3.11, 2 As 3.27
Se4 0.2500 0.0893 0.3388  5 Ce 2.95-3.11, 2 As 3.27
As1 0.7500 0.4098 0.4577  2 As 2.51
As2 0.2500 0.5902 0.5423  2 As 2.51
As3 0.2500 0.0902 0.9577  2 As 2.51
As4 0.7500 0.9098 0.0423  2 As 2.51
Ce1 0.7500 0.7915 0.3476  5 Se 2.95-3.11, 4 As 2.99-3.09
Ce2 0.7500 0.2915 0.1524  5 Se 2.95-3.11, 4 As 2.99-3.09
Ce3 0.2500 0.2085 0.6524  5 Se 2.95-3.11, 4 As 2.99-3.09
Ce4 0.2500 0.7085 0.8476  5 Se 2.95-3.11, 4 As 2.99-3.09

Calculated values
Uncorrected formation energy: -1.362 eV/atom
Electronic total energy: -6.55 eV per atom



Entry 11:
## AsCl3 (GGA-PBEsol)

Data for a relaxed structure of AsCl3.

Cell lengths 6.3572, 8.0399, 9.1100 Å; angles 90.00, 90.00, 90.00 degrees
Closest atoms and distances in Å follow each position.
Fractional coordinates of all 16 atoms:
Cl1 0.6535 0.1685 0.5710  1 As 2.21
Cl2 0.6535 0.1685 0.9290  1 As 2.21
Cl3 0.1535 0.3315 0.4290  1 As 2.21
Cl4 0.7992 0.8941 0.2500  1 As 2.19
Cl5 0.8465 0.6685 0.5710  1 As 2.21
Cl6 0.7008 0.3941 0.2500  1 As 2.19
Cl7 0.3465 0.8315 0.4290  1 As 2.21
Cl8 0.2008 0.1059 0.7500  1 As 2.19
Cl9 0.3465 0.8315 0.0710  1 As 2.21
Cl10 0.8465 0.6685 0.9290  1 As 2.21
Cl11 0.1535 0.3315 0.0710  1 As 2.21
Cl12 0.2992 0.6059 0.7500  1 As 2.19
As1 0.4744 0.9863 0.2500  3 Cl 2.19-2.21
As2 0.9744 0.5137 0.7500  3 Cl 2.19-2.21
As3 0.5256 0.0137 0.7500  3 Cl 2.19-2.21
As4 0.0256 0.4863 0.2500  3 Cl 2.19-2.21

Calculated values
Uncorrected formation energy: -0.667 eV/atom
Electronic total energy: -3.45 eV per atom



Entry 12:
## AsCl5 (GGA-PBEsol)

Data for a relaxed structure of AsCl5.

Cell lengths 3.6358, 7.2865, 7.2435 Å; angles 94.16, 104.53, 90.00 degrees
Closest atoms and distances in Å follow each position.
Fractional coordinates of all 6 atoms:
Cl1 0.4383 0.8997 0.8766  2 As 2.51
Cl2 0.7365 0.6527 0.4731  1 Cl 1.98
Cl3 0.6957 0.9077 0.3914  1 Cl 1.98
Cl4 0.3453 0.3295 0.6906  2 As 2.54
Cl5 0.0476 0.2552 0.0953  1 As 2.18
As1 0.9032 0.1219 0.8064  1 Cl 2.18

Calculated values
Uncorrected formation energy: -0.396 eV/atom
Electronic total energy: -2.92 eV per atom